A plane-wave DFT calculation with PBE-GGA was carried out for an optimized crystal structure of MgNbCoSn.

a = 4.5497 Å, b = 4.5497 Å, c = 4.5497 Å
α = 60.00°, β = 60.00°, γ = 60.00°
Last column: nearest neighbours and their distance in Å.
Atoms (fractional coordinates):
Mg 0.0000 0.0000 0.0000  4 Nb 2.79, 4 Sn 2.79
Nb 0.7500 0.7500 0.7500  4 Co 2.79, 4 Mg 2.79
Co 0.5000 0.5000 0.5000  4 Nb 2.79, 4 Sn 2.79
Sn 0.2500 0.2500 0.2500  4 Co 2.79, 4 Mg 2.79

Values from the calculation:
calculated total energy: -0.40182 Ry per atom

---

A plane-wave DFT calculation with PBE-GGA was carried out for an optimized crystal structure of MgNbTlCo.

a = 4.6290 Å, b = 4.6290 Å, c = 4.6290 Å
α = 60.00°, β = 60.00°, γ = 60.00°
Last column: nearest neighbours and their distance in Å.
Atoms (fractional coordinates):
Mg 0.0000 0.0000 0.0000  4 Nb 2.83, 4 Co 2.83
Nb 0.2500 0.2500 0.2500  4 Tl 2.83, 4 Mg 2.83
Tl 0.5000 0.5000 0.5000  4 Nb 2.83, 4 Co 2.83
Co 0.7500 0.7500 0.7500  4 Tl 2.83, 4 Mg 2.83

Values from the calculation:
calculated total energy: -0.34755 Ry per atom

---

A plane-wave DFT calculation with PBE-GGA was carried out for an optimized crystal structure of MgNbTlCo.

a = 4.5623 Å, b = 4.5623 Å, c = 4.5623 Å
α = 60.00°, β = 60.00°, γ = 60.00°
Last column: nearest neighbours and their distance in Å.
Atoms (fractional coordinates):
Mg 0.0000 0.0000 0.0000  4 Nb 2.79, 4 Tl 2.79
Nb 0.7500 0.7500 0.7500  4 Co 2.79, 4 Mg 2.79
Tl 0.2500 0.2500 0.2500  4 Co 2.79, 4 Mg 2.79
Co 0.5000 0.5000 0.5000  4 Tl 2.79, 4 Nb 2.79

Values from the calculation:
calculated total energy: -0.36154 Ry per atom

---

A plane-wave DFT calculation with PBE-GGA was carried out for an optimized crystal structure of MgNbZnCo.

a = 4.3443 Å, b = 4.3443 Å, c = 4.3443 Å
α = 60.00°, β = 60.00°, γ = 60.00°
Last column: nearest neighbours and their distance in Å.
Atoms (fractional coordinates):
Mg 0.0000 0.0000 0.0000  4 Nb 2.66, 4 Zn 2.66
Nb 0.7500 0.7500 0.7500  4 Co 2.66, 4 Mg 2.66
Zn 0.2500 0.2500 0.2500  4 Co 2.66, 4 Mg 2.66
Co 0.5000 0.5000 0.5000  4 Nb 2.66, 4 Zn 2.66

Values from the calculation:
calculated total energy: -0.36663 Ry per atom

---

A plane-wave DFT calculation with PBE-GGA was carried out for an optimized crystal structure of MgNbZnCo.

a = 4.3757 Å, b = 4.3757 Å, c = 4.3757 Å
α = 60.00°, β = 60.00°, γ = 60.00°
Last column: nearest neighbours and their distance in Å.
Atoms (fractional coordinates):
Mg 0.0000 0.0000 0.0000  4 Co 2.68, 4 Zn 2.68
Nb 0.5000 0.5000 0.5000  4 Co 2.68, 4 Zn 2.68
Zn 0.7500 0.7500 0.7500  4 Nb 2.68, 4 Mg 2.68
Co 0.2500 0.2500 0.2500  4 Nb 2.68, 4 Mg 2.68

Values from the calculation:
calculated total energy: -0.37071 Ry per atom

---

A plane-wave DFT calculation with PBE-GGA was carried out for an optimized crystal structure of MgNbZnCo.

a = 4.3850 Å, b = 4.3850 Å, c = 4.3850 Å
α = 60.00°, β = 60.00°, γ = 60.00°
Last column: nearest neighbours and their distance in Å.
Atoms (fractional coordinates):
Mg 0.0000 0.0000 0.0000  4 Nb 2.69, 4 Co 2.69
Nb 0.2500 0.2500 0.2500  4 Mg 2.69, 4 Zn 2.69
Zn 0.5000 0.5000 0.5000  4 Nb 2.69, 4 Co 2.69
Co 0.7500 0.7500 0.7500  4 Mg 2.69, 4 Zn 2.69

Values from the calculation:
calculated total energy: -0.34387 Ry per atom

---

A plane-wave DFT calculation with PBE-GGA was carried out for an optimized crystal structure of MgCoNi.

a = 6.1021 Å, b = 3.9964 Å, c = 6.7673 Å
α = 90.00°, β = 90.00°, γ = 90.00°
Last column: nearest neighbours and their distance in Å.
Atoms (fractional coordinates):
Mg 0.0030 0.2500 0.1949  6 Ni 2.68-2.94, 6 Co 2.72-2.87
Mg 0.4970 0.7500 0.6949  6 Ni 2.68-2.94, 6 Co 2.72-2.87
Mg 0.5030 0.2500 0.3051  6 Ni 2.68-2.94, 6 Co 2.72-2.87
Mg 0.9970 0.7500 0.8051  6 Ni 2.68-2.94, 6 Co 2.72-2.87
Co 0.1836 0.2500 0.5859  4 Ni 2.30-2.33
Co 0.3164 0.7500 0.0859  4 Ni 2.30-2.33
Co 0.6836 0.2500 0.9141  4 Ni 2.30-2.33
Co 0.8164 0.7500 0.4141  4 Ni 2.30-2.33
Ni 0.1936 0.7500 0.4091  4 Co 2.30-2.33
Ni 0.3064 0.2500 0.9091  4 Co 2.30-2.33
Ni 0.6936 0.7500 0.0909  4 Co 2.30-2.33
Ni 0.8064 0.2500 0.5909  4 Co 2.30-2.33

Values from the calculation:
calculated total energy: -0.34363 Ry per atom

---

A plane-wave DFT calculation with PBE-GGA was carried out for an optimized crystal structure of MgCoNi.

a = 6.0555 Å, b = 3.7444 Å, c = 7.1002 Å
α = 90.00°, β = 90.00°, γ = 90.00°
Last column: nearest neighbours and their distance in Å.
Atoms (fractional coordinates):
Mg 0.0350 0.2500 0.1641  5 Ni 2.58-2.65, 1 Co 2.71
Mg 0.4650 0.7500 0.6641  5 Ni 2.58-2.65, 1 Co 2.71
Mg 0.5350 0.2500 0.3359  5 Ni 2.58-2.65, 1 Co 2.71
Mg 0.9650 0.7500 0.8359  5 Ni 2.58-2.65, 1 Co 2.71
Co 0.1178 0.2500 0.5395  4 Ni 2.32-2.45, 2 Co 2.42
Co 0.3822 0.7500 0.0395  4 Ni 2.32-2.45, 2 Co 2.42
Co 0.6178 0.2500 0.9605  4 Ni 2.32-2.45, 2 Co 2.42
Co 0.8822 0.7500 0.4605  4 Ni 2.32-2.45, 2 Co 2.42
Ni 0.2409 0.7500 0.3443  4 Co 2.32-2.45, 4 Mg 2.58-2.59
Ni 0.2591 0.2500 0.8443  4 Co 2.32-2.45, 4 Mg 2.58-2.59
Ni 0.7409 0.7500 0.1557  4 Co 2.32-2.45, 4 Mg 2.58-2.59
Ni 0.7591 0.2500 0.6557  4 Co 2.32-2.45, 4 Mg 2.58-2.59

Values from the calculation:
calculated total energy: -0.34625 Ry per atom